Below is K2InPb after structural relaxation, with properties calculated at the GGA-PBE level.

Structure (POSCAR):
```
K2InPb
1.0
-1.8853 -5.3601 -4.4917
1.6294 -6.2629 -3.2530
-2.3428 -5.0190 2.9895
Pb K In
1 2 1
direct
0.5330 0.5330 0.4803 Pb
0.9728 0.9728 0.0344 K
0.7759 0.7759 0.7171 K
0.2184 0.2184 0.2681 In
```

ρ, g/cm³: 4.32
Electronic total energy, eV per atom: -2.275
Total magnetization, μB per formula unit: 0.0
Volume, Å³/atom: 38.5
Energy above the most stable polymorph in this dataset, meV/atom: 24